[1]
VASP calculation (PBE) on Tb2DySn after structural relaxation.

Magnetization in μB per atom: 0.0000
Energy relative to the lowest polymorph listed for this composition in meV/atom: 469.4

a b c (Å): 3.5117 3.5117 35.8441
angles (deg): 90.00 90.00 120.00
Space group R-3m (No. 166, hexagonal axes)
One atom of each set of equivalent atoms:
Tb: 0.0000 0.0000 0.0871 x6
Dy: 0.0000 0.0000 0.5000 x3
Sn: 0.0000 0.0000 0.0000 x3

---

[2]
VASP calculation (PBE) on TbDySn2 after structural relaxation.

Magnetization in μB per atom: 0.0000

a b c (Å): 3.476 3.476 8.810
angles (deg): 90.00 90.00 90.00
Space group P4/mmm (No. 123)
One atom of each set of equivalent atoms:
Tb: 0.000 0.000 0.000 x1
Dy: 0.000 0.000 0.500 x1
Sn: 0.500 0.500 0.251 x2

---

[3]
VASP calculation (PBE) on Tb6Dy8Sn after structural relaxation.

Magnetization in μB per atom: 0.0000

a b c (Å): 9.2851 9.2851 6.4077
angles (deg): 90.00 90.00 120.00
Space group P-3 (No. 147)
One atom of each set of equivalent atoms:
Tb: 0.0933 0.6433 0.1763 x6
Dy: 0.0385 0.7739 0.6847 x6
Dy: 0.3333 0.6667 0.6654 x2
Sn: 0.0000 0.0000 0.0000 x1

---

[4]
VASP calculation (PBE) on Tb2DySn2 after structural relaxation.

Magnetization in μB per atom: 0.0000

a b c (Å): 4.956 18.203 6.486
angles (deg): 90.00 90.00 90.00
Space group Cmc2_1 (No. 36)
One atom of each set of equivalent atoms:
Tb: 0.000 0.001 0.000 x4
Tb: 0.000 0.190 0.252 x4
Dy: 0.000 0.395 0.249 x4
Sn: 0.000 0.196 0.753 x4
Sn: 0.000 0.425 0.750 x4

---

[5]
VASP calculation (PBE) on TbDySn6 after structural relaxation.

Magnetization in μB per atom: 0.0000

a b c (Å): 4.686 4.686 9.570
angles (deg): 90.00 90.00 90.00
Space group P4/mmm (No. 123)
One atom of each set of equivalent atoms:
Tb: 0.000 0.000 0.000 x1
Dy: 0.000 0.000 0.500 x1
Sn: 0.000 0.500 0.251 x4
Sn: 0.500 0.500 0.000 x1
Sn: 0.500 0.500 0.500 x1

---

[6]
VASP calculation (PBE) on Tb8Dy6Sn after structural relaxation.

Magnetization in μB per atom: 0.0000

a b c (Å): 9.2870 9.2870 6.4161
angles (deg): 90.00 90.00 120.00
Space group P-3 (No. 147)
One atom of each set of equivalent atoms:
Tb: 0.0394 0.7735 0.3159 x6
Tb: 0.3333 0.6667 0.3307 x2
Dy: 0.0944 0.6445 0.8252 x6
Sn: 0.0000 0.0000 0.0000 x1

---

[7]
VASP calculation (PBE) on TbDy3Sn3 after structural relaxation.

Magnetization in μB per atom: 0.0000

a b c (Å): 9.1231 9.1231 5.4094
angles (deg): 90.00 90.00 120.00
Space group P6_3/m (No. 176)
One atom of each set of equivalent atoms:
Tb: 0.3333 0.6667 0.2500 x2
Dy: 0.0050 0.2396 0.2500 x6
Sn: 0.0759 0.4535 0.7500 x6

---

[8]
VASP calculation (PBE) on Tb2DySn after structural relaxation.

Magnetization in μB per atom: 0.0000
Energy relative to the lowest polymorph listed for this composition in meV/atom: 0.0

a b c (Å): 4.813 4.813 4.818
angles (deg): 90.00 90.00 90.00
Space group P4/mmm (No. 123)
One atom of each set of equivalent atoms:
Tb: 0.000 0.500 0.000 x2
Dy: 0.000 0.000 0.500 x1
Sn: 0.500 0.500 0.500 x1

---

[9]
VASP calculation (PBE) on Tb2DySn9 after structural relaxation.

Magnetization in μB per atom: 0.0000

a b c (Å): 4.797 4.797 13.695
angles (deg): 90.00 90.00 90.00
Space group P4/mmm (No. 123)
One atom of each set of equivalent atoms:
Tb: 0.000 0.000 0.167 x2
Dy: 0.000 0.000 0.500 x1
Sn: 0.000 0.500 0.000 x2
Sn: 0.000 0.500 0.334 x4
Sn: 0.500 0.500 0.167 x2
Sn: 0.500 0.500 0.500 x1

---

[10]
VASP calculation (PBE) on Tb3DySn3 after structural relaxation.

Magnetization in μB per atom: 0.0000

a b c (Å): 9.1470 9.1470 5.4152
angles (deg): 90.00 90.00 120.00
Space group P6_3/m (No. 176)
One atom of each set of equivalent atoms:
Tb: 0.0049 0.7644 0.2500 x6
Dy: 0.3333 0.6667 0.2500 x2
Sn: 0.0766 0.6218 0.7500 x6

---

[11]
VASP calculation (PBE) on TbDySn2 after structural relaxation.

Magnetization in μB per atom: 0.0000

a b c (Å): 3.9288 3.9288 26.1880
angles (deg): 90.00 90.00 120.00
Space group R-3m (No. 166, hexagonal axes)
One atom of each set of equivalent atoms:
Tb: 0.0000 0.0000 0.0000 x3
Dy: 0.0000 0.0000 0.5000 x3
Sn: 0.0000 0.0000 0.2497 x6

---

[12]
VASP calculation (PBE) on Tb5Dy2Sn4 after structural relaxation.

Magnetization in μB per atom: 0.0000

a b c (Å): 15.312 3.519 12.035
angles (deg): 90.00 91.06 90.00
Space group C2/m (No. 12)
One atom of each set of equivalent atoms:
Tb: 0.000 0.000 0.000 x2
Tb: 0.020 0.000 0.720 x4
Tb: 0.115 0.500 0.486 x4
Dy: 0.187 0.500 0.888 x4
Sn: 0.133 0.500 0.154 x4
Sn: 0.220 0.000 0.665 x4

---

[13]
VASP calculation (PBE) on Tb3DySn12 after structural relaxation.

Magnetization in μB per atom: 0.0000

a b c (Å): 4.738 4.738 18.691
angles (deg): 90.00 90.00 90.00
Space group P4/mmm (No. 123)
One atom of each set of equivalent atoms:
Tb: 0.000 0.000 0.000 x1
Tb: 0.000 0.000 0.250 x2
Dy: 0.000 0.000 0.500 x1
Sn: 0.000 0.500 0.125 x4
Sn: 0.000 0.500 0.375 x4
Sn: 0.500 0.500 0.000 x1
Sn: 0.500 0.500 0.250 x2
Sn: 0.500 0.500 0.500 x1

---

[14]
VASP calculation (PBE) on TbDy8Sn6 after structural relaxation.

Magnetization in μB per atom: 0.0000

a b c (Å): 9.0282 9.0282 19.4697
angles (deg): 90.00 90.00 120.00
Space group R-3 (No. 148, hexagonal axes)
One atom of each set of equivalent atoms:
Tb: 0.0000 0.0000 0.0000 x3
Dy: 0.0000 0.0000 0.3333 x6
Dy: 0.9997 0.3334 0.2272 x18
Sn: 0.9999 0.3339 0.0673 x18

---

[15]
VASP calculation (PBE) on Tb2DySn after structural relaxation.

Magnetization in μB per atom: 0.0003
Energy relative to the lowest polymorph listed for this composition in meV/atom: 146.9

a b c (Å): 5.542 12.746 6.747
angles (deg): 90.00 90.00 90.00
Space group Cmcm (No. 63)
One atom of each set of equivalent atoms:
Tb: 0.000 0.134 0.017 x8
Dy: 0.000 0.428 0.250 x4
Sn: 0.000 0.332 0.750 x4

---

[16]
VASP calculation (PBE) on TbDy2Sn9 after structural relaxation.

Magnetization in μB per atom: 0.0000

a b c (Å): 4.688 4.688 14.332
angles (deg): 90.00 90.00 90.00
Space group P4/mmm (No. 123)
One atom of each set of equivalent atoms:
Tb: 0.000 0.000 0.000 x1
Dy: 0.000 0.000 0.333 x2
Sn: 0.000 0.500 0.167 x4
Sn: 0.000 0.500 0.500 x2
Sn: 0.500 0.500 0.000 x1
Sn: 0.500 0.500 0.334 x2

---

[17]
VASP calculation (PBE) on TbDySn2 after structural relaxation.

Magnetization in μB per atom: 0.0000

a b c (Å): 4.312 4.499 11.439
angles (deg): 90.00 90.00 90.00
Space group Amm2 (No. 38)
One atom of each set of equivalent atoms:
Tb: 0.000 0.000 0.000 x2
Dy: 0.500 0.000 0.732 x2
Sn: 0.000 0.000 0.272 x2
Sn: 0.500 0.000 0.459 x2

---

[18]
VASP calculation (PBE) on TbDyZnSn after structural relaxation.

Magnetization in μB per atom: 0.0000

a b c (Å): 7.343 7.343 7.343
angles (deg): 90.00 90.00 90.00
Space group F-43m (No. 216)
One atom of each set of equivalent atoms:
Tb: 0.000 0.000 0.000 x4
Dy: 0.000 0.000 0.500 x4
Zn: 0.250 0.250 0.250 x4
Sn: 0.250 0.250 0.750 x4

---

[19]
VASP calculation (PBE) on Dy6TcSn2 after structural relaxation.

Magnetization in μB per atom: 0.0000

a b c (Å): 8.0816 8.0816 4.3868
angles (deg): 90.00 90.00 120.00
Space group P-62m (No. 189)
One atom of each set of equivalent atoms:
Dy: 0.0000 0.2401 0.0000 x3
Dy: 0.0000 0.5969 0.5000 x3
Tc: 0.0000 0.0000 0.5000 x1
Sn: 0.3333 0.6667 0.0000 x2

---

[20]
VASP calculation (PBE) on Dy8TcSn2 after structural relaxation.

Magnetization in μB per atom: 0.0000

a b c (Å): 5.503 6.946 15.784
angles (deg): 90.00 90.00 90.00
Space group Immm (No. 71)
One atom of each set of equivalent atoms:
Dy: 0.000 0.000 0.191 x4
Dy: 0.000 0.237 0.374 x8
Dy: 0.000 0.244 0.000 x4
Tc: 0.000 0.500 0.500 x2
Sn: 0.000 0.500 0.187 x4

---

no.,VASP energy (eV/atom)
1,-4.42
2,-4.94
3,-4.53
4,-4.99
5,-4.58
6,-4.53
7,-4.87
8,-4.89
9,-4.59
10,-4.87
11,-4.84
12,-4.75
13,-4.60
14,-4.90
15,-4.74
16,-4.58
17,-5.05
18,-4.13
19,-5.56
20,-5.33